## Ca2ReRu (PBE)

Data for Ca2ReRu after structural relaxation.

a = 2.852 Å, b = 2.852 Å, c = 9.548 Å
α = 90.00°, β = 90.00°, γ = 90.00°
Space group P4/mmm (No. 123)
Unique sites:
Ca 0.000 0.000 0.239 (multiplicity 2)
Re 0.500 0.500 0.500 (multiplicity 1)
Ru 0.500 0.500 0.000 (multiplicity 1)

excess energy over the best structure of this formula in the dataset: 10.73 kcal/mol of atoms
calculated volume: 77.6 Å³ per cell
spin magnetization: 0.196 μB/atom
formation energy from the elements: 2.89 eV per formula unit
crystal system: tetragonal

***

## CaReRu2 (PBE)

Data for CaReRu2 after structural relaxation.

a = 6.363 Å, b = 6.363 Å, c = 6.363 Å
α = 90.00°, β = 90.00°, γ = 90.00°
Space group Fm-3m (No. 225)
Unique sites:
Ca 0.000 0.000 0.000 (multiplicity 4)
Re 0.000 0.000 0.500 (multiplicity 4)
Ru 0.250 0.250 0.250 (multiplicity 8)

excess energy over the best structure of this formula in the dataset: 3.72 kcal/mol of atoms
calculated volume: 257.6 Å³ per cell
spin magnetization: 0.000 μB/atom
formation energy from the elements: 1.66 eV per formula unit
crystal system: cubic

***

## Ca2ReRu (PBE)

Data for Ca2ReRu after structural relaxation.

a = 5.388 Å, b = 9.553 Å, c = 3.009 Å
α = 90.00°, β = 92.17°, γ = 90.00°
Space group C2/m (No. 12)
Unique sites:
Ca 0.250 0.250 0.000 (multiplicity 4)
Re 0.000 0.000 0.500 (multiplicity 2)
Ru 0.000 0.500 0.500 (multiplicity 2)

excess energy over the best structure of this formula in the dataset: 10.94 kcal/mol of atoms
calculated volume: 154.8 Å³ per cell
spin magnetization: 0.000 μB/atom
formation energy from the elements: 2.92 eV per formula unit
crystal system: monoclinic

***

## CaRe2Ru (PBE)

Data for CaRe2Ru after structural relaxation.

a = 9.467 Å, b = 3.018 Å, c = 5.367 Å
α = 90.00°, β = 105.87°, γ = 90.00°
Space group Cm (No. 8)
Unique sites:
Ca 0.000 0.000 0.000 (multiplicity 2)
Re 0.004 0.500 0.501 (multiplicity 2)
Re 0.288 0.500 0.349 (multiplicity 2)
Ru 0.225 0.000 0.705 (multiplicity 2)

excess energy over the best structure of this formula in the dataset: 2.49 kcal/mol of atoms
calculated volume: 147.5 Å³ per cell
spin magnetization: 0.000 μB/atom
formation energy from the elements: 2.02 eV per formula unit
crystal system: monoclinic

***

## Ca2ReRu (PBE)

Data for Ca2ReRu after structural relaxation.

a = 3.295 Å, b = 4.734 Å, c = 9.782 Å
α = 90.00°, β = 90.00°, γ = 90.00°
Space group Immm (No. 71)
Unique sites:
Ca 0.000 0.000 0.235 (multiplicity 4)
Re 0.000 0.500 0.000 (multiplicity 2)
Ru 0.000 0.500 0.500 (multiplicity 2)

excess energy over the best structure of this formula in the dataset: 11.52 kcal/mol of atoms
calculated volume: 152.6 Å³ per cell
spin magnetization: 0.167 μB/atom
formation energy from the elements: 3.02 eV per formula unit
crystal system: orthorhombic

***

## CaRe2Ru (PBE)

Data for CaRe2Ru after structural relaxation.

a = 3.123 Å, b = 3.123 Å, c = 7.153 Å
α = 90.00°, β = 90.00°, γ = 90.00°
Space group P4mm (No. 99)
Unique sites:
Ca 0.000 0.000 0.000 (multiplicity 1)
Re 0.000 0.000 0.500 (multiplicity 1)
Re 0.500 0.500 0.304 (multiplicity 1)
Ru 0.500 0.500 0.719 (multiplicity 1)

excess energy over the best structure of this formula in the dataset: 0.00 kcal/mol of atoms
calculated volume: 69.8 Å³ per cell
spin magnetization: 0.000 μB/atom
formation energy from the elements: 1.59 eV per formula unit
crystal system: tetragonal